1.
# PBE Na2PrGaI6, relaxed
data_Na2PrGaI6
_chemical_formula_sum 'Na6 Pr3 Ga3 I18'
_cell_length_a 8.1200
_cell_length_b 8.1200
_cell_length_c 22.1953
_cell_angle_alpha 90.00
_cell_angle_beta 90.00
_cell_angle_gamma 120.00
_space_group_name_H-M_alt 'R 3'
_space_group_IT_number 146
_space_group_name_Hall 'R 3'
loop_
_atom_site_label
_atom_site_type_symbol
_atom_site_fract_x
_atom_site_fract_y
_atom_site_fract_z
Na1 Na 0.0000 0.0000 0.0000
Na2 Na 0.0000 0.0000 0.4932
Pr1 Pr 0.0000 0.0000 0.6829
Ga1 Ga 0.0000 0.0000 0.1897
I1 I 0.0082 0.6990 0.5933
I2 I 0.0215 0.3392 0.7581
# Calculated volume, Å³ per cell: 1267.4
# Final energy, eV/cell: -93.032
# Crystal system: trigonal
# Total moment, μB per formula unit: 0.00

***

2.
# PBE Li5Pd4Pt, relaxed
data_Li5Pd4Pt
_chemical_formula_sum 'Li5 Pd4 Pt1'
_cell_length_a 2.988
_cell_length_b 2.988
_cell_length_c 14.852
_cell_angle_alpha 90.00
_cell_angle_beta 90.00
_cell_angle_gamma 90.00
_space_group_name_H-M_alt 'P 4/m m m'
_space_group_IT_number 123
_space_group_name_Hall '-P 4 2'
loop_
_atom_site_label
_atom_site_type_symbol
_atom_site_fract_x
_atom_site_fract_y
_atom_site_fract_z
Li1 Li 0.000 0.000 0.000
Li2 Li 0.000 0.000 0.201
Li3 Li 0.000 0.000 0.402
Pd1 Pd 0.500 0.500 0.100
Pd2 Pd 0.500 0.500 0.301
Pt1 Pt 0.500 0.500 0.500
# Calculated volume, Å³ per cell: 132.6
# Final energy, eV/cell: -40.723
# Crystal system: tetragonal
# Total moment, μB per formula unit: 0.00

***

3.
# PBE BaAg4S2I, relaxed
data_BaAg4S2I
_chemical_formula_sum 'Ba1 Ag4 S2 I1'
_cell_length_a 4.159
_cell_length_b 4.159
_cell_length_c 11.384
_cell_angle_alpha 90.00
_cell_angle_beta 90.00
_cell_angle_gamma 90.00
_space_group_name_H-M_alt 'P 4/m m m'
_space_group_IT_number 123
_space_group_name_Hall '-P 4 2'
loop_
_atom_site_label
_atom_site_type_symbol
_atom_site_fract_x
_atom_site_fract_y
_atom_site_fract_z
Ba1 Ba 0.000 0.000 0.000
Ag1 Ag 0.000 0.500 0.290
S1 S 0.500 0.500 0.143
I1 I 0.000 0.000 0.500
# Calculated volume, Å³ per cell: 196.9
# Final energy, eV/cell: -26.508
# Crystal system: tetragonal
# Total moment, μB per formula unit: 0.00

***

4.
# PBE SiTc4Te, relaxed
data_SiTc4Te
_chemical_formula_sum 'Si4 Tc16 Te4'
_cell_length_a 7.361
_cell_length_b 7.361
_cell_length_c 7.361
_cell_angle_alpha 90.00
_cell_angle_beta 90.00
_cell_angle_gamma 90.00
_space_group_name_H-M_alt 'F -4 3 m'
_space_group_IT_number 216
_space_group_name_Hall 'F -4 2 3'
loop_
_atom_site_label
_atom_site_type_symbol
_atom_site_fract_x
_atom_site_fract_y
_atom_site_fract_z
Si1 Si 0.000 0.000 0.000
Tc1 Tc 0.125 0.125 0.625
Te1 Te 0.250 0.250 0.250
# Calculated volume, Å³ per cell: 398.9
# Final energy, eV/cell: -185.525
# Crystal system: cubic
# Total moment, μB per formula unit: 0.00